## Fe4P3O12 (GGA+U)

Data for crystalline Fe4P3O12 at its relaxed geometry.

Properties
VASP energy in eV/atom: -7.13
Magnetization in Bohr magnetons per cell: 34.000

Structure (extended XYZ):
```
38
Lattice="-6.400 2.129 -5.740 -5.699 -3.932 5.522 -3.570 4.753 2.780" Properties=species:S:1:pos:R:3 pbc="T T T"
P -11.543 2.354 0.249
O -5.278 -0.766 4.802
O -5.233 3.931 -0.071
O -5.813 1.252 -0.883
O -3.700 1.498 0.960
P -9.591 -1.467 1.543
O -10.024 2.798 0.372
Fe -8.753 2.607 1.899
Fe -6.774 -1.288 3.452
Fe -5.643 2.874 4.147
O -8.166 0.841 -0.921
O -12.011 1.772 1.563
P -6.076 4.356 1.165
O -8.070 -1.041 1.699
P -8.565 1.380 4.344
O -9.771 1.652 3.378
Fe -6.964 0.191 0.584
Fe -11.660 0.638 3.177
P -7.075 1.557 -1.791
O -7.385 3.051 -1.924
O -7.533 5.676 -1.363
O -2.561 1.165 -1.545
Fe -10.077 0.016 -1.474
O -10.316 -1.073 2.875
O -6.895 0.898 -3.186
O -3.206 -0.536 2.423
P -4.141 0.683 2.182
O -4.122 1.601 3.449
O -10.213 -0.719 0.385
O -8.783 2.078 5.690
Fe -4.074 2.369 -0.721
O -5.478 3.811 2.468
O -8.286 -0.136 4.541
O -5.597 0.151 1.990
Fe -8.917 4.187 -0.916
O -12.371 3.642 -0.081
O -7.414 2.032 3.473
O -7.532 3.826 0.966
```